Record 1
First-principles (PBE-GGA) data for a relaxed LaFeRu2 crystal, as listed in the Alexandria database.

Calculated values
- E_form: 0.082 eV/atom
- Energy relative to the lowest polymorph listed for this composition: 0.000 eV per atom
- Space-group type: R3m
- Calculated total energy: -94.8 eV per cell

```
12
Lattice="4.307 0.000 0.000 -2.154 3.730 0.000 0.000 0.000 15.464" Properties=species:S:1:pos:R:3 pbc="T T T"
La 0.000 0.000 0.000
La 0.000 2.487 10.309
La 2.154 1.243 5.155
Fe 0.000 0.000 3.036
Fe 0.000 2.487 13.345
Fe 2.154 1.243 8.191
Ru 0.000 0.000 7.674
Ru 0.000 0.000 12.562
Ru 0.000 2.487 2.519
Ru 0.000 2.487 7.407
Ru 2.154 1.243 2.252
Ru 2.154 1.243 12.828
```


Record 2
First-principles (PBE-GGA) data for a relaxed ErSi3Ir3 crystal, as listed in the Alexandria database.

Calculated values
- Formation energy (no corrections): -2.57 eV/f.u.
- Space-group type: Pm-3n
- Calculated total energy: -100.0 eV per cell

```
14
Lattice="6.533 0.000 0.000 0.000 6.533 0.000 0.000 0.000 6.533" Properties=species:S:1:pos:R:3 pbc="T T T"
Er 0.000 0.000 0.000
Er 3.267 3.267 3.267
Si 0.000 1.633 3.267
Si 0.000 4.900 3.267
Si 1.633 3.267 0.000
Si 3.267 0.000 1.633
Si 3.267 0.000 4.900
Si 4.900 3.267 0.000
Ir 0.000 3.267 1.633
Ir 0.000 3.267 4.900
Ir 1.633 0.000 3.267
Ir 3.267 1.633 0.000
Ir 3.267 4.900 0.000
Ir 4.900 0.000 3.267
```